1.
Entry from Alexandria via LeMat-Bulk: Pu2ZnIn after structural relaxation (PBE).

The structure belongs to space group P4/mmm (No. 123); the cell edges are 3.651, 3.651 and 5.310 Å and the angles 90.00°, 90.00° and 90.00°. The inequivalent atoms are Pu at (0.000, 0.500, 0.000), Zn at (0.000, 0.000, 0.500) and In at (0.500, 0.500, 0.500).

As for the formation enthalpy at 0 K: 0.358 eV per atom.

***

2.
Entry from Alexandria via LeMat-Bulk: LaDy4Tm2 after structural relaxation (PBE).

The structure belongs to space group I4/mmm (No. 139); the cell edges are 4.526, 4.526 and 22.599 Å and the angles 90.00°, 90.00° and 90.00°. The inequivalent atoms are La at (0.000, 0.000, 0.000), Dy at (0.000, 0.000, 0.141), Dy at (0.000, 0.500, 0.250) and Tm at (0.000, 0.000, 0.399).

The energy above the most stable polymorph in this dataset is 233 meV/atom. As for the formation enthalpy at 0 K: 0.275 eV per atom.

***

3.
Entry from Alexandria via LeMat-Bulk: Pm6Tm4Sc after structural relaxation (PBE).

The structure belongs to space group Cmcm (No. 63); the cell edges are 5.722, 9.618 and 25.706 Å and the angles 90.00°, 90.00° and 90.00°. The inequivalent atoms are Pm at (0.000, 0.000, 0.000), Pm at (0.000, 0.031, 0.250), Pm at (0.000, 0.310, 0.603), Pm at (0.000, 0.362, 0.183), Tm at (0.000, 0.029, 0.123), Tm at (0.000, 0.344, 0.045) and Sc at (0.000, 0.305, 0.750).

As for the formation enthalpy at 0 K: 0.123 eV per atom.

***

4.
Entry from Alexandria via LeMat-Bulk: Na4ThSb3Te8 after structural relaxation (PBE).

The structure belongs to space group R-3m (No. 166, hexagonal axes); the cell edges are 9.0767, 9.0767 and 22.4126 Å and the angles 90.00°, 90.00° and 120.00°. The inequivalent atoms are Na at (0.0000, 0.0000, 0.0000), Na at (0.0000, 0.5000, 0.0000), Th at (0.0000, 0.0000, 0.5000), Sb at (0.0000, 0.5000, 0.5000), Te at (0.0000, 0.0000, 0.2426) and Te at (0.0023, 0.5011, 0.7563).

As for the raw formation energy: -0.612 eV per atom.

***

5.
Entry from Alexandria via LeMat-Bulk: CeNdZnGa after structural relaxation (PBE).

The structure belongs to space group F-43m (No. 216); the cell edges are 7.331, 7.331 and 7.331 Å and the angles 90.00°, 90.00° and 90.00°. The inequivalent atoms are Ce at (0.000, 0.000, 0.000), Nd at (0.000, 0.000, 0.500), Zn at (0.250, 0.250, 0.750) and Ga at (0.250, 0.250, 0.250).

As for the formation enthalpy at 0 K: -0.373 eV per atom.

***

6.
Entry from Alexandria via LeMat-Bulk: TiZnPdS2 after structural relaxation (PBE).

The structure belongs to space group P4/mmm (No. 123); the cell edges are 4.580, 4.580 and 5.085 Å and the angles 90.00°, 90.00° and 90.00°. The inequivalent atoms are Ti at (0.000, 0.000, 0.000), Zn at (0.000, 0.000, 0.500), Pd at (0.500, 0.500, 0.500) and S at (0.000, 0.500, 0.000).

As for the raw formation energy: 0.057 eV per atom.

***

7.
Entry from Alexandria via LeMat-Bulk: Tm2ZnGe3Rh4 after structural relaxation (PBE).

The structure belongs to space group P-4m2 (No. 115); the cell edges are 4.113, 4.113 and 10.401 Å and the angles 90.00°, 90.00° and 90.00°. The inequivalent atoms are Tm at (0.000, 0.500, 0.249), Zn at (0.000, 0.000, 0.500), Ge at (0.000, 0.500, 0.869), Ge at (0.500, 0.500, 0.500), Rh at (0.000, 0.000, 0.000), Rh at (0.000, 0.500, 0.638) and Rh at (0.500, 0.500, 0.000).

As for the formation enthalpy at 0 K: -0.793 eV per atom.

***

8.
Entry from Alexandria via LeMat-Bulk: La2TlSi after structural relaxation (PBE).

The structure belongs to space group I-42d (No. 122); the cell edges are 8.465, 8.465 and 7.087 Å and the angles 90.00°, 90.00° and 90.00°. The inequivalent atoms are La at (0.218, 0.250, 0.125), Tl at (0.000, 0.000, 0.500) and Si at (0.000, 0.000, 0.000).

As for the raw formation energy: -0.219 eV per atom.

***

9.
Entry from Alexandria via LeMat-Bulk: Al3Ir after structural relaxation (PBE).

The structure belongs to space group Pmmm (No. 47); the cell edges are 2.943, 3.729 and 5.365 Å and the angles 90.00°, 90.00° and 90.00°. The inequivalent atoms are Al at (0.000, 0.000, 0.000), Al at (0.500, 0.500, 0.257) and Ir at (0.000, 0.000, 0.500).

As for the formation enthalpy at 0 K: -0.486 eV per atom.

***

10.
Entry from Alexandria via LeMat-Bulk: Tm8Co2Ni after structural relaxation (PBE).

The structure belongs to space group C2/m (No. 12); the cell edges are 12.246, 6.457 and 7.865 Å and the angles 90.00°, 98.62° and 90.00°. The inequivalent atoms are Tm at (0.083, 0.000, 0.208), Tm at (0.151, 0.248, 0.636), Tm at (0.162, 0.500, 0.024), Co at (0.132, 0.000, 0.895) and Ni at (0.000, 0.000, 0.500).

The energy above the most stable polymorph in this dataset is 252 meV/atom. As for the formation enthalpy at 0 K: 0.088 eV per atom.

***

11.
Entry from Alexandria via LeMat-Bulk: BeCdCl3 after structural relaxation (PBE).

The structure belongs to space group Pm-3m (No. 221); the cell edges are 4.583, 4.583 and 4.583 Å and the angles 90.00°, 90.00° and 90.00°. The inequivalent atoms are Be at (0.000, 0.000, 0.000), Cd at (0.500, 0.500, 0.500) and Cl at (0.000, 0.000, 0.500).

The energy above the most stable polymorph in this dataset is 0 meV/atom. As for the raw formation energy: -0.658 eV per atom.

***

12.
Entry from Alexandria via LeMat-Bulk: Li3PmTl after structural relaxation (PBE).

The structure belongs to space group Cmmm (No. 65); the cell edges are 4.981, 28.793 and 3.400 Å and the angles 90.00°, 90.00° and 90.00°. The inequivalent atoms are Li at (0.000, 0.046, 0.000), Li at (0.000, 0.225, 0.500), Li at (0.000, 0.441, 0.500), Pm at (0.000, 0.332, 0.000) and Tl at (0.000, 0.121, 0.500).

As for the formation enthalpy at 0 K: -0.099 eV per atom.

***

13.
Entry from Alexandria via LeMat-Bulk: KYAu2 after structural relaxation (PBE).

The structure belongs to space group Imm2 (No. 44); the cell edges are 3.473, 5.198 and 11.425 Å and the angles 90.00°, 90.00° and 90.00°. The inequivalent atoms are K at (0.000, 0.000, 0.000), Y at (0.000, 0.500, 0.797), Au at (0.000, 0.000, 0.517) and Au at (0.000, 0.500, 0.230).

The energy above the most stable polymorph in this dataset is 286 meV/atom. As for the formation enthalpy at 0 K: -0.294 eV per atom.

***

14.
Entry from Alexandria via LeMat-Bulk: TeP2Pt after structural relaxation (PBE).

The structure belongs to space group P4/mmm (No. 123); the cell edges are 4.729, 4.729 and 3.122 Å and the angles 90.00°, 90.00° and 90.00°. The inequivalent atoms are Te at (0.000, 0.000, 0.000), P at (0.000, 0.500, 0.500) and Pt at (0.500, 0.500, 0.000).

As for the raw formation energy: 0.540 eV per atom.

***

15.
Entry from Alexandria via LeMat-Bulk: NaSn2F5 after structural relaxation (PBE).

The structure belongs to space group Pbcn (No. 60); the cell edges are 7.967, 11.533 and 6.670 Å and the angles 90.00°, 90.00° and 90.00°. The inequivalent atoms are Na at (0.000, 0.054, 0.250), Sn at (0.118, 0.343, 0.506), F at (0.000, 0.447, 0.250), F at (0.162, 0.064, 0.952) and F at (0.189, 0.219, 0.283).

The energy above the most stable polymorph in this dataset is 21 meV/atom. As for the raw formation energy: -2.412 eV per atom.

***

16.
Entry from Alexandria via LeMat-Bulk: SeS3Cl after structural relaxation (PBE).

The structure belongs to space group P2_1 (No. 4); the cell edges are 7.875, 4.678 and 8.437 Å and the angles 90.00°, 93.59° and 90.00°. The inequivalent atoms are Se at (0.109, 0.000, 0.337), S at (0.000, 0.363, 0.162), S at (0.192, 0.594, 0.555), S at (0.238, 0.828, 0.757) and Cl at (0.351, 0.981, 0.198).

The energy above the most stable polymorph in this dataset is 0 meV/atom. As for the raw formation energy: 0.056 eV per atom.

***

17.
Entry from Alexandria via LeMat-Bulk: RbHf3Au after structural relaxation (PBE).

The structure belongs to space group Pm-3m (No. 221); the cell edges are 5.308, 5.308 and 5.308 Å and the angles 90.00°, 90.00° and 90.00°. The inequivalent atoms are Rb at (0.000, 0.000, 0.000), Hf at (0.000, 0.500, 0.500) and Au at (0.500, 0.500, 0.500).

The energy above the most stable polymorph in this dataset is 0 meV/atom. As for the formation enthalpy at 0 K: 0.944 eV per atom.

***

18.
Entry from Alexandria via LeMat-Bulk: SiIr2Cl after structural relaxation (PBE).

The structure belongs to space group Immm (No. 71); the cell edges are 2.803, 5.142 and 8.588 Å and the angles 90.00°, 90.00° and 90.00°. The inequivalent atoms are Si at (0.000, 0.000, 0.000), Ir at (0.000, 0.500, 0.274) and Cl at (0.000, 0.000, 0.500).

The energy above the most stable polymorph in this dataset is 456 meV/atom. As for the raw formation energy: 0.231 eV per atom.

***

19.
Entry from Alexandria via LeMat-Bulk: ZnHgAs2O6 after structural relaxation (PBE).

The structure belongs to space group C2/c (No. 15); the cell edges are 11.885, 9.689 and 6.856 Å and the angles 90.00°, 123.29° and 90.00°. The inequivalent atoms are Zn at (0.000, 0.205, 0.250), Hg at (0.000, 0.252, 0.750), As at (0.218, 0.433, 0.686), O at (0.110, 0.281, 0.580), O at (0.117, 0.130, 0.155) and O at (0.182, 0.489, 0.908).

As for the raw formation energy: -0.944 eV per atom.

***

20.
Entry from Alexandria via LeMat-Bulk: NiHPd2Pt after structural relaxation (PBE).

The structure belongs to space group P4/mmm (No. 123); the cell edges are 3.957, 3.957 and 3.850 Å and the angles 90.00°, 90.00° and 90.00°. The inequivalent atoms are Ni at (0.000, 0.000, 0.000), H at (0.000, 0.000, 0.500), Pd at (0.000, 0.500, 0.500) and Pt at (0.500, 0.500, 0.000).

The energy above the most stable polymorph in this dataset is 0 meV/atom.

***

21.
Entry from Alexandria via LeMat-Bulk: EuTlCu after structural relaxation (PBE).

The structure belongs to space group F-43m (No. 216); the cell edges are 6.862, 6.862 and 6.862 Å and the angles 90.00°, 90.00° and 90.00°. The inequivalent atoms are Eu at (0.000, 0.000, 0.000), Tl at (0.000, 0.000, 0.500) and Cu at (0.250, 0.250, 0.250).

As for the formation enthalpy at 0 K: -0.101 eV per atom.

***

22.
Entry from Alexandria via LeMat-Bulk: Nd4Y3S8 after structural relaxation (PBE).

The structure belongs to space group C2/m (No. 12); the cell edges are 11.291, 11.297 and 7.974 Å and the angles 90.00°, 134.87° and 90.00°. The inequivalent atoms are Nd at (0.000, 0.000, 0.000), Nd at (0.000, 0.500, 0.500), Nd at (0.250, 0.250, 0.000), Y at (0.000, 0.500, 0.000), Y at (0.250, 0.250, 0.500), S at (0.000, 0.247, 0.500), S at (0.000, 0.254, 0.000), S at (0.248, 0.500, 0.006) and S at (0.249, 0.500, 0.491).

As for the raw formation energy: -2.028 eV per atom.

***

23.
Entry from Alexandria via LeMat-Bulk: Sc3Ag3Hg2 after structural relaxation (PBE).

The structure belongs to space group P-62m (No. 189); the cell edges are 7.3544, 7.3544 and 3.6265 Å and the angles 90.00°, 90.00° and 120.00°. The inequivalent atoms are Sc at (0.0000, 0.3890, 0.0000), Ag at (0.0000, 0.7739, 0.5000) and Hg at (0.3333, 0.6667, 0.5000).

As for the formation enthalpy at 0 K: -0.219 eV per atom.

***

In Mg/m³, the mass density values for the records above are, in order, 15.677, 8.084, 7.469, 5.327, 7.072, 4.419, 9.749, 6.674, 7.705, 8.253, 3.929, 5.043, 8.405, 9.147, 3.852, 2.255, 9.080, 12.018, 5.151, 12.880, 8.630, 5.069, 8.404.
In μB/f.u., the total magnetization values for the records above are, in order, 0.00, 0.00, 0.00, 0.00, 0.73, 0.00, 0.00, 0.00, 0.00, 0.00, 0.00, 0.00, 0.00, 0.00, 0.00, 0.00, 0.00, 0.00, 0.00, 0.75, 7.33, 0.00, 0.00.
In states/eV/cell, the DOS(E_F) values for the records above are, in order, 6.5, 18.7, 70.2, 14.3, 34.4, 2.8, 6.5, 24.3, 0.5, 19.8, 1.9, 12.7, 5.4, 1.3, 0.0, 3.6, 2.6, 3.1, 5.4, 6.8, 31.5, 13.3, 6.6.